Entry 1:
VASP calculation (SCAN) on a PBEsol-optimized structure of As3WO.

Unit cell a=4.7482 b=4.7482 c=4.7482 alpha=90.00 beta=90.00 gamma=90.00
Space group Pm-3m (No. 221)
Symmetry-distinct sites (fractional):
As 0.0000 0.0000 0.5000 x3
W 0.0000 0.0000 0.0000 x1
O 0.5000 0.5000 0.5000 x1

The formation energy (no corrections) comes out at 869.5 meV/atom. Its total moment is 0.001 μB/f.u.

=====

Entry 2:
VASP calculation (SCAN) on a PBEsol-optimized structure of YAs3O.

Unit cell a=5.3230 b=5.3230 c=5.3230 alpha=90.00 beta=90.00 gamma=90.00
Space group Pm-3m (No. 221)
Symmetry-distinct sites (fractional):
Y 0.0000 0.0000 0.0000 x1
As 0.0000 0.0000 0.5000 x3
O 0.5000 0.5000 0.5000 x1

The formation energy (no corrections) comes out at 998.2 meV/atom. Its total moment is 2.099 μB/f.u.